1.
DFT (PBE) results for a geometry-optimized Tb3CeZr2P6 structure.

extended XYZ file:
```
12
Lattice="3.4043 -5.8932 0.0000 3.4043 5.8932 0.0000 -2.2767 0.0000 6.4310" Properties=species:S:1:pos:R:3 pbc="T T T"
Tb 0.0000 0.0000 0.0000
Tb 3.4043 1.9342 0.0000
Tb 3.4043 -1.9342 0.0000
Ce 2.2659 0.0000 3.2155
Zr 2.2659 3.9305 3.2155
Zr 2.2659 -3.9305 3.2155
P 1.1024 2.0182 1.6726
P -0.0674 0.0000 4.7395
P 1.1024 -2.0182 1.6726
P 3.4295 2.0182 4.7584
P 4.5993 0.0000 1.6915
P 3.4295 -2.0182 4.7584
```

**Crystal system**: monoclinic
**DOS at the Fermi energy**: 6.43 states/eV/f.u.

=====

2.
DFT (PBE) results for a geometry-optimized TbCe2ZrP4 structure.

extended XYZ file:
```
8
Lattice="6.8806 0.0000 0.0000 0.0000 3.9711 0.0000 -2.2837 0.0000 6.4972" Properties=species:S:1:pos:R:3 pbc="T T T"
Tb 0.0000 0.0000 0.0000
Ce 2.2985 0.0000 3.2486
Ce 3.4403 1.9856 0.0000
Zr -1.1418 1.9856 3.2486
P -0.0612 0.0000 4.7903
P 1.0747 1.9856 1.6628
P 3.5222 1.9856 4.8344
P 4.6581 0.0000 1.7069
```

**Crystal system**: monoclinic
**DOS at the Fermi energy**: 8.13 states/eV/f.u.

=====

3.
DFT (PBE) results for a geometry-optimized CeTc12P6 structure.

extended XYZ file:
```
19
Lattice="5.4105 3.1238 2.8727 -5.4105 3.1238 2.8727 0.0000 -6.2476 2.8727" Properties=species:S:1:pos:R:3 pbc="T T T"
Ce 0.0000 0.0000 0.0000
Tc -1.9775 -3.4252 4.3090
Tc -3.9551 0.0000 4.3090
Tc -1.4559 -0.8406 3.1282
Tc 1.4559 -0.8406 3.1281
Tc 0.0000 1.6811 3.1281
Tc 1.9775 -3.4252 4.3090
Tc -1.9775 3.4252 4.3090
Tc 0.0000 -1.6811 5.4898
Tc -1.4559 0.8405 5.4898
Tc 1.4559 0.8406 5.4898
Tc 3.9551 0.0000 4.3090
Tc 1.9775 3.4252 4.3090
P 0.0000 -2.7950 3.2966
P -2.4206 1.3975 3.2966
P -2.4206 -1.3975 5.3214
P 2.4206 1.3975 3.2966
P 2.4206 -1.3975 5.3214
P 0.0000 2.7950 5.3214
```

**Crystal system**: trigonal
**DOS at the Fermi energy**: 20.74 states/eV/f.u.

=====

4.
DFT (PBE) results for a geometry-optimized CeTc3P3 structure.

extended XYZ file:
```
14
Lattice="8.0873 0.0000 0.0000 -4.0437 7.0038 0.0000 0.0000 0.0000 4.3521" Properties=species:S:1:pos:R:3 pbc="T T T"
Ce 0.0000 4.6692 1.0880
Ce 4.0437 2.3346 3.2641
Tc -2.9266 5.8596 1.0880
Tc 0.4324 1.5395 1.0880
Tc 1.5494 0.3953 3.2641
Tc 2.4942 6.6085 1.0880
Tc 3.6112 5.4643 3.2641
Tc 6.9703 1.1442 3.2641
P -2.1007 4.9460 3.2641
P 0.8106 2.7115 3.2641
P 2.7536 0.6538 1.0880
P 1.2901 6.3501 3.2641
P 3.2330 4.2923 1.0880
P 6.1444 2.0578 1.0880
```

**Distance to the lowest polymorph of the same formula**: 0 meV/atom
**Crystal system**: hexagonal
**DOS at the Fermi energy**: 8.27 states/eV/f.u.

=====

| no. | ΔH_f (0 K) (meV per atom) |
| --- | --- |
| 1 | -1504 |
| 2 | -1501 |
| 3 | -448 |
| 4 | -663 |